The following is a GGA+U calculation of crystalline Rb2Pr2MgW4O16 at its relaxed geometry, from the Alexandria database.

Cell lengths 7.552, 7.625, 8.423 Å; angles 87.61, 64.42, 61.14 degrees
Space group P1 (No. 1)
Symmetry-distinct sites (fractional):
Rb1 0.000 0.000 0.000 [1 per cell]
Rb2 0.495 0.412 0.583 [1 per cell]
Pr1 0.539 0.942 0.949 [1 per cell]
Pr2 0.954 0.461 0.629 [1 per cell]
Mg1 0.302 0.281 0.261 [1 per cell]
W1 0.055 0.889 0.473 [1 per cell]
W2 0.454 0.537 0.106 [1 per cell]
W3 0.558 0.891 0.462 [1 per cell]
W4 0.953 0.518 0.112 [1 per cell]
O1 0.031 0.470 0.871 [1 per cell]
O2 0.152 0.246 0.126 [1 per cell]
O3 0.177 0.589 0.065 [1 per cell]
O4 0.224 0.556 0.367 [1 per cell]
O5 0.274 0.843 0.204 [1 per cell]
O6 0.323 0.813 0.503 [1 per cell]
O7 0.337 0.174 0.461 [1 per cell]
O8 0.465 0.951 0.706 [1 per cell]
O9 0.559 0.237 0.034 [1 per cell]
O10 0.596 0.601 0.871 [1 per cell]
O11 0.703 0.812 0.175 [1 per cell]
O12 0.704 0.451 0.155 [1 per cell]
O13 0.813 0.583 0.392 [1 per cell]
O14 0.820 0.948 0.407 [1 per cell]
O15 0.909 0.814 0.689 [1 per cell]
O16 0.934 0.162 0.555 [1 per cell]

Relative energy among the computed polymorphs in meV/atom: 49
V in Å³/cell: 375